No. 1
Material: NaAs3Pd4
Method: DFT, PBE-GGA
State: relaxed

E_form ... -404 meV per atom
Total magnetization ... 0.0 Bohr magnetons per cell
SG ... P4/mmm (123)

Structure (POSCAR):
```
NaAs3Pd4
1.0
-1.117 3.358 2.446
-0.386 -2.606 3.401
7.698 1.235 1.820
As Pd Na
3 4 1
direct
0.000 0.000 0.000
0.500 0.500 0.657
0.500 0.500 0.343
0.500 0.000 0.818
0.500 0.000 0.182
0.000 0.500 0.818
0.000 0.500 0.182
0.000 0.000 0.500
```



No. 2
Material: Na2AsPd2
Method: DFT, PBE-GGA
State: relaxed

E_form ... -326 meV per atom
Total magnetization ... 0.0 Bohr magnetons per cell
SG ... P4/mbm (127)

Structure (POSCAR):
```
Na2AsPd2
1.0
-0.141 -5.722 2.962
0.159 -2.965 -5.720
4.876 -0.039 0.156
Na Pd As
4 4 2
direct
0.830 0.330 0.500
0.330 0.170 0.500
0.170 0.670 0.500
0.670 0.830 0.500
0.347 0.847 0.000
0.847 0.653 0.000
0.153 0.347 0.000
0.653 0.153 0.000
0.000 0.000 0.000
0.500 0.500 0.000
```



No. 3
Material: NaAsPd2
Method: DFT, PBE-GGA
State: relaxed

E_form ... -219 meV per atom
Total magnetization ... 0.0 Bohr magnetons per cell
SG ... P4/mmm (123)

Structure (POSCAR):
```
NaAsPd2
1.0
3.187 0.000 0.000
0.000 3.187 0.000
0.000 0.000 7.128
Pd As Na
2 1 1
direct
0.000 0.000 0.797
0.000 0.000 0.203
0.500 0.500 0.000
0.500 0.500 0.500
```



No. 4
Material: Na3As2Pd3
Method: DFT, PBE-GGA
State: relaxed

E_form ... -384 meV per atom
Total magnetization ... 0.0 Bohr magnetons per cell
SG ... Cmcm (63)

Structure (POSCAR):
```
Na3As2Pd3
1.0
-0.988 -4.282 -0.687
2.423 2.456 -4.394
13.189 -3.865 5.111
As Pd Na
4 6 6
direct
0.799 0.597 0.901
0.201 0.403 0.099
0.799 0.597 0.599
0.201 0.403 0.401
0.641 0.281 0.468
0.705 0.411 0.750
0.359 0.719 0.532
0.641 0.281 0.032
0.359 0.719 0.968
0.295 0.589 0.250
0.602 0.204 0.250
0.086 0.173 0.614
0.914 0.827 0.114
0.914 0.827 0.386
0.086 0.173 0.886
0.398 0.796 0.750
```



No. 5
Material: Na4As2Pd3
Method: DFT, PBE-GGA
State: relaxed

E_form ... -337 meV per atom
Total magnetization ... 0.0 Bohr magnetons per cell
SG ... C2/m (12)

Structure (POSCAR):
```
Na4As2Pd3
1.0
-2.897 -1.574 0.948
-1.479 -1.560 -7.108
5.970 -5.494 2.915
Pd Na As
3 4 2
direct
0.000 0.500 0.000
0.912 0.778 0.824
0.088 0.222 0.176
0.570 0.863 0.139
0.747 0.281 0.494
0.253 0.719 0.506
0.430 0.137 0.861
0.391 0.527 0.782
0.609 0.473 0.218
```



No. 6
Material: Na3As2Pd3
Method: DFT, PBE-GGA
State: relaxed

E_form ... -434 meV per atom
Total magnetization ... 0.0 Bohr magnetons per cell
SG ... Pnma (62)

Structure (POSCAR):
```
Na3As2Pd3
1.0
5.710 0.000 0.000
0.000 7.870 0.000
0.000 0.000 15.083
As Na Pd
8 12 12
direct
0.619 0.643 0.103
0.381 0.357 0.603
0.381 0.357 0.897
0.119 0.857 0.603
0.881 0.143 0.397
0.619 0.643 0.397
0.881 0.143 0.103
0.119 0.857 0.897
0.931 0.823 0.250
0.118 0.483 0.390
0.382 0.983 0.110
0.069 0.177 0.750
0.618 0.017 0.610
0.882 0.517 0.890
0.618 0.017 0.890
0.569 0.323 0.250
0.882 0.517 0.610
0.431 0.677 0.750
0.382 0.983 0.390
0.118 0.483 0.110
0.389 0.646 0.963
0.389 0.646 0.537
0.454 0.678 0.250
0.889 0.854 0.037
0.546 0.322 0.750
0.611 0.354 0.037
0.889 0.854 0.463
0.046 0.178 0.250
0.954 0.822 0.750
0.611 0.354 0.463
0.111 0.146 0.537
0.111 0.146 0.963
```



Number 1: DOS(E_F) 3.643 states/eV/cell. Number 2: DOS(E_F) 5.085 states/eV/cell. Number 3: DOS(E_F) 1.915 states/eV/cell. Number 4: DOS(E_F) 4.248 states/eV/cell. Number 5: DOS(E_F) 1.662 states/eV/cell. Number 6: DOS(E_F) 11.493 states/eV/cell.